# BiW2F

Crystalline BiW2F at its relaxed geometry (PBE with a Hubbard U, Alexandria).

a = 6.996 Å, b = 6.996 Å, c = 6.996 Å
α = 90.00°, β = 90.00°, γ = 90.00°
Space group Fm-3m (No. 225)
Inequivalent atoms, fractional coordinates:
Bi  0.000  0.000  0.000
W  0.250  0.250  0.250
F  0.000  0.000  0.500

Energy relative to the lowest polymorph listed for this composition (eV per atom): 0.0419